Entry 1:
Here is BC2 after structural relaxation from the Alexandria database. Energies are from PBE.

```
data_BC2
_symmetry_space_group_name_H-M 'P 1 m 1'
_symmetry_Int_Tables_number 6
_cell_length_a 4.5960
_cell_length_b 2.6014
_cell_length_c 6.4288
_cell_angle_alpha 90.00
_cell_angle_beta 95.10
_cell_angle_gamma 90.00
loop_
_symmetry_equiv_pos_as_xyz
'x,y,z'
'x,-y,z'
loop_
_atom_site_label
_atom_site_fract_x
_atom_site_fract_y
_atom_site_fract_z
B1 0.0000 0.0000 0.0000
B2 0.0758 0.0000 0.7164
B3 0.3734 0.0000 0.0326
B4 0.5497 0.5000 0.7210
C1 0.1918 0.5000 0.3862
C2 0.2193 0.5000 0.6227
C3 0.3423 0.0000 0.3024
C4 0.5467 0.5000 0.9667
C5 0.6964 0.0000 0.3904
C6 0.7200 0.0000 0.6295
C7 0.8429 0.5000 0.0750
C8 0.8529 0.5000 0.3106
```

Summary:
Crystal system   monoclinic
ΔE to the lowest computed polymorph   3.32 kcal/mol of atoms
Calculated formation energy   384 meV/atom



Entry 2:
Here is Cs2PtCl4 after structural relaxation from the Alexandria database. Energies are from PBE.

```
data_Cs2PtCl4
_symmetry_space_group_name_H-M 'I 4/m m m'
_symmetry_Int_Tables_number 139
_symmetry_space_group_name_Hall '-I 4 2'
_cell_length_a 5.2223
_cell_length_b 5.2223
_cell_length_c 16.5748
_cell_angle_alpha 90.00
_cell_angle_beta 90.00
_cell_angle_gamma 90.00
loop_
_atom_site_label
_atom_site_fract_x
_atom_site_fract_y
_atom_site_fract_z
Cs1 0.0000 0.0000 0.1390
Pt1 0.0000 0.0000 0.5000
Cl1 0.0000 0.0000 0.3560
Cl2 0.0000 0.5000 0.0000
```

Summary:
Raw formation energy   -1.280 eV per atom
Crystal system   tetragonal



Entry 3:
Here is Ta2TlRh after structural relaxation from the Alexandria database. Energies are from PBE.

```
data_Ta2TlRh
_symmetry_space_group_name_H-M 'R -3 m'
_symmetry_Int_Tables_number 166
_symmetry_space_group_name_Hall '-R 3 2"'
_cell_length_a 2.9830
_cell_length_b 2.9830
_cell_length_c 28.6734
_cell_angle_alpha 90.00
_cell_angle_beta 90.00
_cell_angle_gamma 120.00
loop_
_atom_site_label
_atom_site_fract_x
_atom_site_fract_y
_atom_site_fract_z
Ta1 0.0000 0.0000 0.2433
Tl1 0.0000 0.0000 0.0000
Rh1 0.0000 0.0000 0.5000
```

Summary:
Crystal system   trigonal
ΔE to the lowest computed polymorph   3.46 kcal/mol of atoms
Calculated formation energy   220 meV/atom



Entry 4:
Here is Rb3Pm2HoO6 after structural relaxation from the Alexandria database. Energies are from PBE.

```
data_Rb3Pm2HoO6
_symmetry_space_group_name_H-M 'C 1 2/m 1'
_symmetry_Int_Tables_number 12
_cell_length_a 6.2160
_cell_length_b 10.7675
_cell_length_c 6.9046
_cell_angle_alpha 90.00
_cell_angle_beta 107.46
_cell_angle_gamma 90.00
loop_
_symmetry_equiv_pos_as_xyz
'x,y,z'
'-x,-y,-z'
'-x,y,-z'
'x,-y,z'
'x+1/2,y+1/2,z'
'-x+1/2,-y+1/2,-z'
'-x+1/2,y+1/2,-z'
'x+1/2,-y+1/2,z'
loop_
_atom_site_label
_atom_site_fract_x
_atom_site_fract_y
_atom_site_fract_z
Rb1 0.0000 0.0000 0.0000
Rb2 0.0000 0.3343 0.0000
Pm1 0.0000 0.1667 0.5000
Ho1 0.0000 0.5000 0.5000
O1 0.2213 0.3379 0.6778
O2 0.2351 0.0000 0.6778
```

Summary:
Raw formation energy   -2.626 eV per atom
Crystal system   monoclinic



Entry 5:
Here is RbMnFeS3 after structural relaxation from the Alexandria database. Energies are from PBE.

```
data_RbMnFeS3
_symmetry_space_group_name_H-M 'P 1 21/m 1'
_symmetry_Int_Tables_number 11
_cell_length_a 8.4738
_cell_length_b 3.6079
_cell_length_c 9.4016
_cell_angle_alpha 90.00
_cell_angle_beta 115.89
_cell_angle_gamma 90.00
loop_
_symmetry_equiv_pos_as_xyz
'x,y,z'
'-x,-y,-z'
'-x,y+1/2,-z'
'x,-y+1/2,z'
loop_
_atom_site_label
_atom_site_fract_x
_atom_site_fract_y
_atom_site_fract_z
Rb1 0.2413 0.2500 0.2572
Mn1 0.3185 0.7500 0.8509
Fe1 0.0914 0.2500 0.6105
S1 0.1328 0.2500 0.8598
S2 0.2103 0.7500 0.5497
S3 0.4867 0.7500 0.1391
```

Summary:
Raw formation energy   -0.702 eV per atom
Crystal system   monoclinic



Entry 6:
Here is Zr2Cd2Pd after structural relaxation from the Alexandria database. Energies are from PBE.

```
data_Zr2Cd2Pd
_symmetry_space_group_name_H-M 'P 4/m b m'
_symmetry_Int_Tables_number 127
_symmetry_space_group_name_Hall '-P 4 2ab'
_cell_length_a 7.1066
_cell_length_b 7.1066
_cell_length_c 4.1982
_cell_angle_alpha 90.00
_cell_angle_beta 90.00
_cell_angle_gamma 90.00
loop_
_atom_site_label
_atom_site_fract_x
_atom_site_fract_y
_atom_site_fract_z
Zr1 0.1664 0.3336 0.0000
Cd1 0.1378 0.6378 0.5000
Pd1 0.0000 0.0000 0.5000
```

Summary:
Crystal system   tetragonal
ΔE to the lowest computed polymorph   5.36 kcal/mol of atoms
Calculated formation energy   -41 meV/atom



Entry 7:
Here is LiCuSbTe2 after structural relaxation from the Alexandria database. Energies are from PBE.

```
data_LiCuSbTe2
_symmetry_space_group_name_H-M 'P 4/m m m'
_symmetry_Int_Tables_number 123
_symmetry_space_group_name_Hall '-P 4 2'
_cell_length_a 5.4185
_cell_length_b 5.4185
_cell_length_c 4.8935
_cell_angle_alpha 90.00
_cell_angle_beta 90.00
_cell_angle_gamma 90.00
loop_
_atom_site_label
_atom_site_fract_x
_atom_site_fract_y
_atom_site_fract_z
Li1 0.0000 0.0000 0.0000
Cu1 0.5000 0.5000 0.5000
Sb1 0.5000 0.5000 0.0000
Te1 0.0000 0.5000 0.5000
```

Summary:
Raw formation energy   0.146 eV per atom
Crystal system   tetragonal
ΔE to the lowest computed polymorph   0.00 kcal/mol of atoms



Entry 8:
Here is DyPdRhPb after structural relaxation from the Alexandria database. Energies are from PBE.

```
data_DyPdRhPb
_symmetry_space_group_name_H-M 'F -4 3 m'
_symmetry_Int_Tables_number 216
_symmetry_space_group_name_Hall 'F -4 2 3'
_cell_length_a 6.8064
_cell_length_b 6.8064
_cell_length_c 6.8064
_cell_angle_alpha 90.00
_cell_angle_beta 90.00
_cell_angle_gamma 90.00
loop_
_atom_site_label
_atom_site_fract_x
_atom_site_fract_y
_atom_site_fract_z
Dy1 0.0000 0.0000 0.0000
Pd1 0.2500 0.2500 0.7500
Rh1 0.2500 0.2500 0.2500
Pb1 0.0000 0.0000 0.5000
```

Summary:
Crystal system   cubic
Calculated formation energy   -602 meV/atom